## BeZnInPd2 (PBE-GGA)

Data for crystalline BeZnInPd2 at its relaxed geometry.

a = 4.295 Å, b = 4.295 Å, c = 4.547 Å
α = 90.00°, β = 90.00°, γ = 90.00°
Atoms (fractional coordinates):
Be 0.000 0.000 0.000
Zn 0.500 0.500 0.500
In 0.000 0.000 0.500
Pd 0.000 0.500 0.000
Pd 0.500 0.000 0.000

Properties
- Crystal system: tetragonal
- Formation energy from the elements: 0.0502 eV/atom
- Relative energy among the computed polymorphs: 0 meV per atom


## VFeS2 (PBE-GGA)

Data for crystalline VFeS2 at its relaxed geometry.

a = 7.705 Å, b = 7.705 Å, c = 7.705 Å
α = 23.02°, β = 23.02°, γ = 23.02°
Atoms (fractional coordinates):
V 0.000 0.000 0.000
Fe 0.500 0.500 0.500
S 0.401 0.401 0.401
S 0.599 0.599 0.599

Properties
- Crystal system: trigonal
- Formation energy from raw total energies: -384 meV/atom


For the records above, the corresponding D(E_F) values read 2.556 4.366 states/eV/f.u..
For the records above, the corresponding total magnetization values read 0.000 2.462 μB per cell.